# 1
A relaxed structure of ErPuIrO6. Source: Alexandria, functional PBE.

Cell and atoms, written as POSCAR:
```
ErPuIrO6
1.0
5.3383 0.0000 0.0000
-2.6692 4.6231 0.0000
0.0000 0.0000 9.5657
Er Pu Ir O
2 2 2 12
direct
0.3333 0.6667 0.2500
0.6667 0.3333 0.7500
0.0000 0.0000 0.0000
0.0000 0.0000 0.5000
0.3333 0.6667 0.7500
0.6667 0.3333 0.2500
0.0320 0.3468 0.6285
0.0320 0.6852 0.8715
0.3148 0.3468 0.8715
0.3148 0.9680 0.6285
0.3468 0.0320 0.1285
0.3468 0.3148 0.3715
0.6532 0.6852 0.6285
0.6532 0.9680 0.8715
0.6852 0.0320 0.3715
0.6852 0.6532 0.1285
0.9680 0.3148 0.1285
0.9680 0.6532 0.3715
```

Summary:
Raw formation energy in eV per atom: -2.28
Crystal system: trigonal
Space group: No. 163

=====

# 2
A relaxed structure of Rb2AgAu2. Source: Alexandria, functional PBE.

Cell and atoms, written as POSCAR:
```
Rb2AgAu2
1.0
10.2730 0.0000 0.0000
0.0000 10.2730 0.0000
0.0000 0.0000 3.0996
Rb Ag Au
4 2 4
direct
0.1879 0.3121 0.0000
0.3121 0.8121 0.0000
0.6879 0.1879 0.0000
0.8121 0.6879 0.0000
0.0000 0.0000 0.0000
0.5000 0.5000 0.0000
0.1026 0.6026 0.5000
0.3974 0.1026 0.5000
0.6026 0.8974 0.5000
0.8974 0.3974 0.5000
```

Summary:
Crystal system: tetragonal
Space group: No. 127
ΔH_f (0 K) in eV/f.u.: 0.58

=====

# 3
A relaxed structure of Hg2OsBr. Source: Alexandria, functional PBE.

Cell and atoms, written as POSCAR:
```
Hg2OsBr
1.0
-1.5011 2.3993 6.7952
1.5011 -2.3993 6.7952
1.5011 2.3993 -6.7952
Hg Os Br
2 1 1
direct
0.0000 0.0000 0.0000
0.6597 0.1597 0.5000
0.1787 0.6787 0.5000
0.3294 0.3294 0.0000
```

Summary:
Raw formation energy in eV per atom: 0.58
Crystal system: orthorhombic
Space group: No. 44

=====

# 4
A relaxed structure of LuNi3H. Source: Alexandria, functional PBE.

Cell and atoms, written as POSCAR:
```
LuNi3H
1.0
3.8310 0.0000 0.0000
0.0000 3.8310 0.0000
0.0000 0.0000 3.8310
Lu Ni H
1 3 1
direct
0.0000 0.0000 0.0000
0.0000 0.5000 0.5000
0.5000 0.0000 0.5000
0.5000 0.5000 0.0000
0.5000 0.5000 0.5000
```

Summary:
Crystal system: cubic
Space group: No. 221
Calculated total energy in eV/atom: -5.389

=====

# 5
A relaxed structure of Er4MgTl2. Source: Alexandria, functional PBE.

Cell and atoms, written as POSCAR:
```
Er4MgTl2
1.0
2.6135 1.5089 8.3679
-2.6135 1.5089 8.3679
0.0000 -3.0178 8.3679
Er Mg Tl
4 1 2
direct
0.1156 0.1156 0.1156
0.3695 0.3695 0.3695
0.6305 0.6305 0.6305
0.8844 0.8844 0.8844
0.5000 0.5000 0.5000
0.2452 0.2452 0.2452
0.7548 0.7548 0.7548
```

Summary:
Crystal system: trigonal
Space group: No. 166
ΔH_f (0 K) in eV/f.u.: -1.01